Material: ScCdCl2
Method: DFT, PBE
State: optimized geometry

a b c (Å): 3.6027 3.6027 31.5363
angles (deg): 90.00 90.00 120.00
Space group R-3m (No. 166, hexagonal axes)
Symmetry-distinct sites (fractional):
Sc  0.0000  0.0000  0.0000 [3 per cell]
Cd  0.0000  0.0000  0.5000 [3 per cell]
Cl  0.0000  0.0000  0.0732 [6 per cell]

Properties
**Energy relative to the lowest polymorph listed for this composition**: 2.02 eV per formula unit
**Size of the total moment**: 0.003 μB/atom
**Density**: 3.21 Mg/m³